TmMgS2: relaxed, PBE-GGA.

Computed properties:
Formation energy without anion corrections (kJ/mol of formula units): -613
Distance to the lowest polymorph of the same formula (meV/atom): 6
Final energy (eV/cell): -20.7

Lattice parameters (Å, degrees): 6.737 6.737 6.737 31.96 31.96 31.96
Sites, in units of the cell vectors:
Tm 0.000 0.000 0.000
Mg 0.500 0.500 0.500
S 0.244 0.244 0.244
S 0.756 0.756 0.756

---

YTmMgS4: relaxed, PBE-GGA.

Computed properties:
Formation energy without anion corrections (kJ/mol of formula units): -1281
Final energy (eV/cell): -84.6

Lattice parameters (Å, degrees): 7.865 7.865 7.865 120.16 119.87 89.98
Sites, in units of the cell vectors:
Y 0.000 0.000 0.000
Y 0.500 0.000 0.500
Tm 0.500 0.000 0.000
Tm 0.500 0.500 0.500
Mg 0.125 0.375 0.750
Mg 0.875 0.625 0.250
S 0.257 0.249 0.492
S 0.257 0.764 0.008
S 0.259 0.247 0.012
S 0.266 0.753 0.512
S 0.734 0.247 0.488
S 0.741 0.753 0.988
S 0.743 0.236 0.992
S 0.743 0.751 0.508

---

Y3Tm3MgS8: relaxed, PBE-GGA.

Computed properties:
Formation energy without anion corrections (kJ/mol of formula units): -2843
Final energy (eV/cell): -96.9

Lattice parameters (Å, degrees): 7.744 7.744 7.744 59.70 59.70 59.70
Sites, in units of the cell vectors:
Y 0.000 0.500 0.500
Y 0.500 0.000 0.500
Y 0.500 0.500 0.000
Tm 0.000 0.000 0.500
Tm 0.000 0.500 0.000
Tm 0.500 0.000 0.000
Mg 0.500 0.500 0.500
S 0.248 0.248 0.248
S 0.254 0.742 0.742
S 0.258 0.258 0.746
S 0.258 0.746 0.258
S 0.742 0.254 0.742
S 0.742 0.742 0.254
S 0.746 0.258 0.258
S 0.752 0.752 0.752

---

Mg5U3S12: relaxed, PBE-GGA.

Computed properties:
Formation energy without anion corrections (kJ/mol of formula units): -2363
Final energy (eV/cell): -463.4

Lattice parameters (Å, degrees): 13.145 13.145 13.145 109.47 109.47 109.47
Sites, in units of the cell vectors:
Mg 0.000 0.000 0.000
Mg 0.000 0.000 0.500
Mg 0.000 0.500 0.000
Mg 0.000 0.500 0.500
Mg 0.125 0.750 0.875
Mg 0.125 0.875 0.250
Mg 0.250 0.125 0.875
Mg 0.250 0.625 0.375
Mg 0.375 0.250 0.625
Mg 0.375 0.625 0.750
Mg 0.500 0.000 0.000
Mg 0.500 0.000 0.500
Mg 0.500 0.500 0.000
Mg 0.500 0.500 0.500
Mg 0.625 0.375 0.250
Mg 0.625 0.750 0.375
Mg 0.750 0.375 0.625
Mg 0.750 0.875 0.125
Mg 0.875 0.125 0.750
Mg 0.875 0.250 0.125
U 0.125 0.250 0.375
U 0.125 0.375 0.750
U 0.250 0.375 0.125
U 0.250 0.875 0.625
U 0.375 0.125 0.250
U 0.375 0.750 0.125
U 0.625 0.250 0.875
U 0.625 0.875 0.750
U 0.750 0.125 0.375
U 0.750 0.625 0.875
U 0.875 0.625 0.250
U 0.875 0.750 0.625
S 0.046 0.221 0.131
S 0.046 0.325 0.915
S 0.085 0.631 0.410
S 0.085 0.954 0.675
S 0.090 0.721 0.675
S 0.090 0.869 0.415
S 0.131 0.046 0.221
S 0.131 0.585 0.910
S 0.175 0.221 0.590
S 0.175 0.454 0.585
S 0.221 0.131 0.046
S 0.221 0.590 0.175
S 0.279 0.325 0.910
S 0.279 0.454 0.369
S 0.325 0.910 0.279
S 0.325 0.915 0.046
S 0.369 0.279 0.454
S 0.369 0.590 0.915
S 0.410 0.085 0.631
S 0.410 0.825 0.779
S 0.415 0.090 0.869
S 0.415 0.825 0.546
S 0.454 0.369 0.279
S 0.454 0.585 0.175
S 0.546 0.415 0.825
S 0.546 0.631 0.721
S 0.585 0.175 0.454
S 0.585 0.910 0.131
S 0.590 0.175 0.221
S 0.590 0.915 0.369
S 0.631 0.410 0.085
S 0.631 0.721 0.546
S 0.675 0.085 0.954
S 0.675 0.090 0.721
S 0.721 0.546 0.631
S 0.721 0.675 0.090
S 0.779 0.410 0.825
S 0.779 0.869 0.954
S 0.825 0.546 0.415
S 0.825 0.779 0.410
S 0.869 0.415 0.090
S 0.869 0.954 0.779
S 0.910 0.131 0.585
S 0.910 0.279 0.325
S 0.915 0.046 0.325
S 0.915 0.369 0.590
S 0.954 0.675 0.085
S 0.954 0.779 0.869

---

MgV4S8: relaxed, PBE-GGA.

Computed properties:
Formation energy without anion corrections (kJ/mol of formula units): -1098
Distance to the lowest polymorph of the same formula (meV/atom): 96
Final energy (eV/cell): -82.5

Lattice parameters (Å, degrees): 7.009 7.009 7.009 58.77 58.77 58.77
Sites, in units of the cell vectors:
Mg 0.000 0.000 0.000
V 0.000 0.500 0.500
V 0.500 0.000 0.500
V 0.500 0.500 0.000
V 0.500 0.500 0.500
S 0.255 0.255 0.255
S 0.255 0.255 0.738
S 0.255 0.738 0.255
S 0.262 0.745 0.745
S 0.738 0.255 0.255
S 0.745 0.262 0.745
S 0.745 0.745 0.262
S 0.745 0.745 0.745

---

MgVS3: relaxed, PBE-GGA.

Computed properties:
Formation energy without anion corrections (kJ/mol of formula units): -421
Distance to the lowest polymorph of the same formula (meV/atom): 0
Final energy (eV/cell): -109.8

Lattice parameters (Å, degrees): 7.027 7.027 11.962 115.19 115.19 56.60
Sites, in units of the cell vectors:
Mg 0.000 0.000 0.000
Mg 0.000 0.000 0.500
Mg 0.854 0.854 0.177
Mg 0.855 0.855 0.677
V 0.366 0.366 0.377
V 0.367 0.367 0.877
V 0.488 0.488 0.188
V 0.489 0.489 0.689
S 0.130 0.599 0.028
S 0.131 0.600 0.528
S 0.194 0.194 0.211
S 0.196 0.196 0.710
S 0.254 0.724 0.340
S 0.255 0.725 0.841
S 0.599 0.130 0.028
S 0.600 0.131 0.528
S 0.659 0.659 0.193
S 0.660 0.660 0.694
S 0.724 0.254 0.340
S 0.725 0.255 0.841

---

MgV3S: relaxed, PBE-GGA.

Computed properties:
Formation energy without anion corrections (kJ/mol of formula units): 867
Distance to the lowest polymorph of the same formula (meV/atom): 1739
Final energy (eV/cell): -24.1

Lattice parameters (Å, degrees): 4.688 4.688 4.688 90.00 90.00 90.00
Sites, in units of the cell vectors:
Mg 0.000 0.000 0.000
V 0.000 0.000 0.500
V 0.000 0.500 0.000
V 0.500 0.000 0.000
S 0.500 0.500 0.500

---

MgV2S5: relaxed, PBE-GGA.

Computed properties:
Formation energy without anion corrections (kJ/mol of formula units): -612
Final energy (eV/cell): -93.6

Lattice parameters (Å, degrees): 3.664 13.414 6.344 90.00 90.00 90.00
Sites, in units of the cell vectors:
Mg 0.250 0.250 0.058
Mg 0.750 0.750 0.942
V 0.250 0.585 0.516
V 0.250 0.915 0.516
V 0.750 0.085 0.484
V 0.750 0.415 0.484
S 0.250 0.049 0.282
S 0.250 0.451 0.282
S 0.250 0.669 0.202
S 0.250 0.750 0.675
S 0.250 0.831 0.202
S 0.750 0.169 0.798
S 0.750 0.250 0.325
S 0.750 0.331 0.798
S 0.750 0.549 0.718
S 0.750 0.951 0.718

---

MgV4S8: relaxed, PBE-GGA.

Computed properties:
Formation energy without anion corrections (kJ/mol of formula units): -1180
Distance to the lowest polymorph of the same formula (meV/atom): 30
Final energy (eV/cell): -83.3

Lattice parameters (Å, degrees): 7.444 7.444 7.444 51.68 51.68 51.68
Sites, in units of the cell vectors:
Mg 0.000 0.000 0.000
V 0.000 0.000 0.500
V 0.000 0.500 0.000
V 0.500 0.000 0.000
V 0.500 0.500 0.500
S 0.241 0.241 0.241
S 0.243 0.742 0.742
S 0.258 0.258 0.757
S 0.258 0.757 0.258
S 0.742 0.243 0.742
S 0.742 0.742 0.243
S 0.757 0.258 0.258
S 0.759 0.759 0.759

---

Listing DOS at the Fermi energy for the structures above in their given order: 1.375; 0.000; 3.514; 67.487; 11.971; 0.215; 6.071; 9.971; 9.398 states/eV/cell.